[1]
This record from Alexandria describes a geometry-optimized RbLiIn2Ge structure. The functional is GGA-PBE.

Properties
Crystal system: tetragonal
ρ (kg/m3): 3399
N(E_F) (states/eV/f.u.): 3.95
Space-group type: P4/mmm
ΔE_f (eV/atom): 1.09

Cell: 6.182 6.182 5.045 Å, 90.00 90.00 90.00°
Fractional positions:
Rb (0.000, 0.000, 0.000)
Li (0.000, 0.000, 0.500)
In (0.000, 0.500, 0.000)
In (0.500, 0.000, 0.000)
Ge (0.500, 0.500, 0.500)

***

[2]
This record from Alexandria describes a geometry-optimized ZrTiCu4 structure. The functional is GGA-PBE.

Properties
Crystal system: tetragonal
ρ (kg/m3): 7452
N(E_F) (states/eV/f.u.): 2.64
Space-group type: P4/mmm
ΔE_f (eV/atom): -0.10
Distance to the lowest polymorph of the same formula (kJ/mol of formula units): 0.0

Cell: 3.229 3.229 8.407 Å, 90.00 90.00 90.00°
Fractional positions:
Zr (0.000, 0.000, 0.000)
Ti (0.500, 0.500, 0.500)
Cu (0.000, 0.000, 0.337)
Cu (0.000, 0.000, 0.663)
Cu (0.500, 0.500, 0.192)
Cu (0.500, 0.500, 0.808)

***

[3]
This record from Alexandria describes a geometry-optimized Cs2KGaCl6 structure. The functional is GGA-PBE.

Properties
Crystal system: trigonal
ρ (kg/m3): 2608
Raw formation energy (eV/atom): -1.65
N(E_F) (states/eV/f.u.): 0.00
Space-group type: P-3m1

Cell: 7.515 7.515 7.646 Å, 90.00 90.00 120.00°
Fractional positions:
Cs (0.333, 0.667, 0.157)
Cs (0.667, 0.333, 0.843)
K (0.000, 0.000, 0.500)
Ga (0.000, 0.000, 0.000)
Cl (0.151, 0.303, 0.816)
Cl (0.151, 0.849, 0.816)
Cl (0.303, 0.151, 0.184)
Cl (0.697, 0.849, 0.816)
Cl (0.849, 0.151, 0.184)
Cl (0.849, 0.697, 0.184)

***

[4]
This record from Alexandria describes a geometry-optimized ZrBrCl2 structure. The functional is GGA-PBE.

Properties
Crystal system: tetragonal
ρ (kg/m3): 3483
Raw formation energy (eV/atom): -1.30
N(E_F) (states/eV/f.u.): 2.55
Space-group type: I-42d
Distance to the lowest polymorph of the same formula (kJ/mol of formula units): 96.0

Cell: 9.199 9.199 5.454 Å, 90.00 90.00 90.00°
Fractional positions:
Zr (0.000, 0.000, 0.000)
Zr (0.000, 0.500, 0.250)
Zr (0.500, 0.000, 0.750)
Zr (0.500, 0.500, 0.500)
Br (0.000, 0.000, 0.500)
Br (0.000, 0.500, 0.750)
Br (0.500, 0.000, 0.250)
Br (0.500, 0.500, 0.000)
Cl (0.105, 0.250, 0.125)
Cl (0.250, 0.605, 0.375)
Cl (0.250, 0.895, 0.875)
Cl (0.395, 0.250, 0.625)
Cl (0.605, 0.750, 0.625)
Cl (0.750, 0.105, 0.875)
Cl (0.750, 0.395, 0.375)
Cl (0.895, 0.750, 0.125)

***

[5]
This record from Alexandria describes a geometry-optimized Ce2Ni3Ge5 structure. The functional is GGA-PBE.

Properties
Crystal system: tetragonal
ρ (kg/m3): 7422
N(E_F) (states/eV/f.u.): 15.53
Space-group type: P-4m2
ΔE_f (eV/atom): -0.35
Distance to the lowest polymorph of the same formula (kJ/mol of formula units): 293.0

Cell: 4.395 4.395 9.493 Å, 90.00 90.00 90.00°
Fractional positions:
Ce (0.000, 0.500, 0.225)
Ce (0.500, 0.000, 0.775)
Ni (0.000, 0.000, 0.000)
Ni (0.000, 0.500, 0.894)
Ni (0.500, 0.000, 0.106)
Ge (0.000, 0.000, 0.500)
Ge (0.000, 0.500, 0.656)
Ge (0.500, 0.000, 0.344)
Ge (0.500, 0.500, 0.000)
Ge (0.500, 0.500, 0.500)

***

[6]
This record from Alexandria describes a geometry-optimized IrC2I structure. The functional is GGA-PBE.

Properties
Crystal system: cubic
ρ (kg/m3): 11229
Raw formation energy (eV/atom): 2.75
N(E_F) (states/eV/f.u.): 2.94
Space-group type: Fm-3m
Distance to the lowest polymorph of the same formula (kJ/mol of formula units): 510.5

Cell: 5.877 5.877 5.877 Å, 90.00 90.00 90.00°
Fractional positions:
Ir (0.000, 0.000, 0.000)
Ir (0.000, 0.500, 0.500)
Ir (0.500, 0.000, 0.500)
Ir (0.500, 0.500, 0.000)
C (0.250, 0.250, 0.250)
C (0.250, 0.250, 0.750)
C (0.250, 0.750, 0.250)
C (0.250, 0.750, 0.750)
C (0.750, 0.250, 0.250)
C (0.750, 0.250, 0.750)
C (0.750, 0.750, 0.250)
C (0.750, 0.750, 0.750)
I (0.000, 0.000, 0.500)
I (0.000, 0.500, 0.000)
I (0.500, 0.000, 0.000)
I (0.500, 0.500, 0.500)

***

[7]
This record from Alexandria describes a geometry-optimized TaSeSCl2 structure. The functional is GGA-PBE.

Properties
Crystal system: tetragonal
ρ (kg/m3): 4986
Raw formation energy (eV/atom): 1.11
N(E_F) (states/eV/f.u.): 7.34
Space-group type: P4/mmm
Distance to the lowest polymorph of the same formula (kJ/mol of formula units): 608.0

Cell: 4.947 4.947 4.938 Å, 90.00 90.00 90.00°
Fractional positions:
Ta (0.000, 0.000, 0.000)
Se (0.500, 0.500, 0.500)
S (0.500, 0.500, 0.000)
Cl (0.000, 0.500, 0.500)
Cl (0.500, 0.000, 0.500)

***

[8]
This record from Alexandria describes a geometry-optimized Dy4GePd3 structure. The functional is GGA-PBE.

Properties
Crystal system: orthorhombic
ρ (kg/m3): 9531
N(E_F) (states/eV/f.u.): 4.91
Space-group type: Pmm2
ΔE_f (eV/atom): -0.90

Cell: 3.850 4.396 10.725 Å, 90.00 90.00 90.00°
Fractional positions:
Dy (0.000, 0.000, 0.000)
Dy (0.000, 0.500, 0.276)
Dy (0.500, 0.000, 0.497)
Dy (0.500, 0.500, 0.776)
Ge (0.000, 0.000, 0.721)
Pd (0.000, 0.500, 0.556)
Pd (0.500, 0.000, 0.224)
Pd (0.500, 0.500, 0.052)

***

[9]
This record from Alexandria describes a geometry-optimized Tb2NdHf structure. The functional is GGA-PBE.

Properties
Crystal system: tetragonal
ρ (kg/m3): 9051
N(E_F) (states/eV/f.u.): 4.83
Space-group type: P4/mmm
ΔE_f (eV/atom): 0.16
Distance to the lowest polymorph of the same formula (kJ/mol of formula units): 15.5

Cell: 4.881 4.881 4.932 Å, 90.00 90.00 90.00°
Fractional positions:
Tb (0.000, 0.500, 0.000)
Tb (0.500, 0.000, 0.000)
Nd (0.000, 0.000, 0.500)
Hf (0.500, 0.500, 0.500)

***

[10]
This record from Alexandria describes a geometry-optimized CrRh2Se structure. The functional is GGA-PBE.

Properties
Crystal system: orthorhombic
ρ (kg/m3): 9246
Raw formation energy (eV/atom): 0.09
N(E_F) (states/eV/f.u.): 4.80
Space-group type: Pmm2

Cell: 3.018 3.745 5.350 Å, 90.00 90.00 90.00°
Fractional positions:
Cr (0.000, 0.000, 0.000)
Rh (0.000, 0.000, 0.489)
Rh (0.500, 0.500, 0.187)
Se (0.500, 0.500, 0.683)

***

[11]
This record from Alexandria describes a geometry-optimized Tb4SiTeSe2 structure. The functional is GGA-PBE.

Properties
Crystal system: monoclinic
ρ (kg/m3): 7551
Raw formation energy (eV/atom): -1.47
N(E_F) (states/eV/f.u.): 2.82
Space-group type: P2/m

Cell: 7.193 4.171 7.374 Å, 90.00 109.33 90.00°
Fractional positions:
Tb (0.242, 0.000, 0.230)
Tb (0.255, 0.500, 0.776)
Tb (0.745, 0.500, 0.224)
Tb (0.758, 0.000, 0.770)
Si (0.000, 0.500, 0.000)
Te (0.000, 0.000, 0.500)
Se (0.500, 0.000, 0.000)
Se (0.500, 0.500, 0.500)

***

[12]
This record from Alexandria describes a geometry-optimized PmEuGdIn structure. The functional is GGA-PBE.

Properties
Crystal system: cubic
ρ (kg/m3): 7585
N(E_F) (states/eV/f.u.): 5.85
Space-group type: F-43m
ΔE_f (eV/atom): -0.08

Cell: 7.928 7.928 7.928 Å, 90.00 90.00 90.00°
Fractional positions:
Pm (0.000, 0.000, 0.000)
Pm (0.000, 0.500, 0.500)
Pm (0.500, 0.000, 0.500)
Pm (0.500, 0.500, 0.000)
Eu (0.250, 0.250, 0.250)
Eu (0.250, 0.750, 0.750)
Eu (0.750, 0.250, 0.750)
Eu (0.750, 0.750, 0.250)
Gd (0.250, 0.250, 0.750)
Gd (0.250, 0.750, 0.250)
Gd (0.750, 0.250, 0.250)
Gd (0.750, 0.750, 0.750)
In (0.000, 0.000, 0.500)
In (0.000, 0.500, 0.000)
In (0.500, 0.000, 0.000)
In (0.500, 0.500, 0.500)

***

[13]
This record from Alexandria describes a geometry-optimized SrInN2O structure. The functional is GGA-PBE.

Properties
Crystal system: tetragonal
ρ (kg/m3): 3554
Raw formation energy (eV/atom): 1.03
N(E_F) (states/eV/f.u.): 2.90
Space-group type: P4/mmm

Cell: 4.964 4.964 4.672 Å, 90.00 90.00 90.00°
Fractional positions:
Sr (0.000, 0.000, 0.000)
In (0.500, 0.500, 0.500)
N (0.000, 0.500, 0.000)
N (0.500, 0.000, 0.000)
O (0.000, 0.000, 0.500)

***

[14]
This record from Alexandria describes a geometry-optimized TlFePd5 structure. The functional is GGA-PBE.

Properties
Crystal system: orthorhombic
ρ (kg/m3): 7472
N(E_F) (states/eV/f.u.): 8.21
Space-group type: Imm2
ΔE_f (eV/atom): 0.68

Cell: 5.230 8.769 7.679 Å, 90.00 90.00 90.00°
Fractional positions:
Tl (0.000, 0.000, 0.000)
Tl (0.500, 0.500, 0.500)
Fe (0.000, 0.500, 0.092)
Fe (0.500, 0.000, 0.592)
Pd (0.000, 0.000, 0.618)
Pd (0.000, 0.246, 0.795)
Pd (0.000, 0.754, 0.795)
Pd (0.245, 0.000, 0.316)
Pd (0.255, 0.500, 0.816)
Pd (0.500, 0.254, 0.295)
Pd (0.500, 0.500, 0.118)
Pd (0.500, 0.746, 0.295)
Pd (0.745, 0.500, 0.816)
Pd (0.755, 0.000, 0.316)

***

[15]
This record from Alexandria describes a geometry-optimized CaMgCl structure. The functional is GGA-PBE.

Properties
Crystal system: cubic
ρ (kg/m3): 1863
Raw formation energy (eV/atom): -0.52
N(E_F) (states/eV/f.u.): 2.01
Space-group type: F-43m
Distance to the lowest polymorph of the same formula (kJ/mol of formula units): 107.8

Cell: 7.087 7.087 7.087 Å, 90.00 90.00 90.00°
Fractional positions:
Ca (0.000, 0.000, 0.000)
Ca (0.000, 0.500, 0.500)
Ca (0.500, 0.000, 0.500)
Ca (0.500, 0.500, 0.000)
Mg (0.000, 0.000, 0.500)
Mg (0.000, 0.500, 0.000)
Mg (0.500, 0.000, 0.000)
Mg (0.500, 0.500, 0.500)
Cl (0.250, 0.250, 0.250)
Cl (0.250, 0.750, 0.750)
Cl (0.750, 0.250, 0.750)
Cl (0.750, 0.750, 0.250)

***

[16]
This record from Alexandria describes a geometry-optimized RbTaBr6 structure. The functional is GGA-PBE.

Properties
Crystal system: monoclinic
ρ (kg/m3): 4075
Raw formation energy (eV/atom): -1.14
N(E_F) (states/eV/f.u.): 0.00
Space-group type: C2/m

Cell: 8.721 10.627 6.986 Å, 90.00 110.14 90.00°
Fractional positions:
Rb (0.000, 0.000, 0.000)
Rb (0.500, 0.500, 0.000)
Ta (0.000, 0.500, 0.500)
Ta (0.500, 0.000, 0.500)
Br (0.104, 0.332, 0.771)
Br (0.104, 0.668, 0.771)
Br (0.227, 0.000, 0.553)
Br (0.273, 0.500, 0.447)
Br (0.396, 0.168, 0.229)
Br (0.396, 0.832, 0.229)
Br (0.604, 0.168, 0.771)
Br (0.604, 0.832, 0.771)
Br (0.727, 0.500, 0.553)
Br (0.773, 0.000, 0.447)
Br (0.896, 0.332, 0.229)
Br (0.896, 0.668, 0.229)

***

[17]
This record from Alexandria describes a geometry-optimized TaInBr2 structure. The functional is GGA-PBE.

Properties
Crystal system: tetragonal
ρ (kg/m3): 6793
Raw formation energy (eV/atom): 0.08
N(E_F) (states/eV/f.u.): 2.99
Space-group type: P4/mmm
Distance to the lowest polymorph of the same formula (kJ/mol of formula units): 128.0

Cell: 3.189 3.189 10.950 Å, 90.00 90.00 90.00°
Fractional positions:
Ta (0.000, 0.000, 0.000)
In (0.000, 0.000, 0.500)
Br (0.500, 0.500, 0.149)
Br (0.500, 0.500, 0.851)

***

[18]
This record from Alexandria describes a geometry-optimized Y2TmP3Rh12 structure. The functional is GGA-PBE.

Properties
Crystal system: trigonal
ρ (kg/m3): 9401
N(E_F) (states/eV/f.u.): 16.25
Space-group type: R-3m
ΔE_f (eV/atom): -0.41

Cell: 6.700 6.700 6.700 Å, 83.73 83.73 83.73°
Fractional positions:
Y (0.128, 0.128, 0.128)
Y (0.872, 0.872, 0.872)
Tm (0.500, 0.500, 0.500)
P (0.000, 0.500, 0.500)
P (0.500, 0.000, 0.500)
P (0.500, 0.500, 0.000)
Rh (0.131, 0.131, 0.592)
Rh (0.131, 0.592, 0.131)
Rh (0.164, 0.679, 0.679)
Rh (0.321, 0.321, 0.836)
Rh (0.321, 0.836, 0.321)
Rh (0.408, 0.869, 0.869)
Rh (0.592, 0.131, 0.131)
Rh (0.679, 0.164, 0.679)
Rh (0.679, 0.679, 0.164)
Rh (0.836, 0.321, 0.321)
Rh (0.869, 0.408, 0.869)
Rh (0.869, 0.869, 0.408)

***

[19]
This record from Alexandria describes a geometry-optimized KYPS2 structure. The functional is GGA-PBE.

Properties
Crystal system: tetragonal
ρ (kg/m3): 2953
Raw formation energy (eV/atom): 0.26
N(E_F) (states/eV/f.u.): 5.64
Space-group type: P4/mmm
Distance to the lowest polymorph of the same formula (kJ/mol of formula units): 430.4

Cell: 4.920 4.920 5.184 Å, 90.00 90.00 90.00°
Fractional positions:
K (0.000, 0.000, 0.000)
Y (0.500, 0.500, 0.000)
P (0.000, 0.000, 0.500)
S (0.000, 0.500, 0.500)
S (0.500, 0.000, 0.500)

***

Number 1: volume 193 Å³/cell. Number 2: volume 88 Å³/cell. Number 3: volume 374 Å³/cell. Number 4: volume 462 Å³/cell. Number 5: volume 183 Å³/cell. Number 6: volume 203 Å³/cell. Number 7: volume 121 Å³/cell. Number 8: volume 182 Å³/cell. Number 9: volume 118 Å³/cell. Number 10: volume 60 Å³/cell. Number 11: volume 209 Å³/cell. Number 12: volume 498 Å³/cell. Number 13: volume 115 Å³/cell. Number 14: volume 352 Å³/cell. Number 15: volume 356 Å³/cell. Number 16: volume 608 Å³/cell. Number 17: volume 111 Å³/cell. Number 18: volume 296 Å³/cell. Number 19: volume 125 Å³/cell.